A | K3ScV: optimized geometry, GGA-PBE.

Calculated values
spin magnetization	6.75	Bohr magnetons per cell
volume	54.93	Å³/atom
SG	Pm-3m (221)

Cell lengths 6.500, 6.500, 6.500 Å; angles 90.00, 90.00, 90.00 degrees
Positions (direct):
K  0.000  0.000  0.500
K  0.000  0.500  0.000
K  0.500  0.000  0.000
Sc  0.500  0.500  0.500
V  0.000  0.000  0.000

B | K3ScV: optimized geometry, GGA-PBE.

Calculated values
spin magnetization	6.91	Bohr magnetons per cell
volume	60.70	Å³/atom
SG	Pm-3m (221)

Cell lengths 6.720, 6.720, 6.720 Å; angles 90.00, 90.00, 90.00 degrees
Positions (direct):
K  0.000  0.000  0.500
K  0.000  0.500  0.000
K  0.500  0.000  0.000
Sc  0.000  0.000  0.000
V  0.500  0.500  0.500

Which of them is least stable? Easy: B.

A | K2ScV: optimized geometry, GGA-PBE.

Calculated values
spin magnetization	5.85	Bohr magnetons per cell
volume	37.17	Å³/atom
SG	Fm-3m (225)

Cell lengths 5.947, 5.947, 5.947 Å; angles 60.00, 60.00, 60.00 degrees
Positions (direct):
K  0.250  0.250  0.250
K  0.750  0.750  0.750
Sc  0.000  0.000  0.000
V  0.500  0.500  0.500

B | K2ScV: optimized geometry, GGA-PBE.

Calculated values
spin magnetization	12.85	Bohr magnetons per cell
volume	53.33	Å³/atom
SG	I-42d (122)

Cell lengths 9.317, 9.317, 9.317 Å; angles 94.74, 94.74, 146.59 degrees
Positions (direct):
K  0.375  0.237  0.362
K  0.763  0.125  0.138
K  0.875  0.013  0.638
K  0.987  0.625  0.862
Sc  0.250  0.750  0.500
Sc  0.500  0.500  0.000
V  0.000  0.000  0.000
V  0.750  0.250  0.500

Which of them is least stable? Easy: A.

A | KSc2W: optimized geometry, GGA-PBE.

Calculated values
spin magnetization	0.00	Bohr magnetons per cell
volume	29.03	Å³/atom
SG	Cm (8)

Cell lengths 5.187, 5.187, 7.873 Å; angles 91.89, 91.89, 33.28 degrees
Positions (direct):
K  0.000  0.000  0.000
Sc  0.240  0.240  0.633
Sc  0.493  0.493  0.435
W  0.759  0.759  0.338

B | KSc2W: optimized geometry, GGA-PBE.

Calculated values
spin magnetization	0.00	Bohr magnetons per cell
volume	28.76	Å³/atom
SG	C2/m (12)

Cell lengths 4.441, 4.441, 8.967 Å; angles 93.05, 93.05, 40.66 degrees
Positions (direct):
K  0.000  0.000  0.000
Sc  0.233  0.233  0.659
Sc  0.767  0.767  0.341
W  0.500  0.500  0.500

C | KSc2W: optimized geometry, GGA-PBE.

Calculated values
spin magnetization	0.89	Bohr magnetons per cell
volume	23.74	Å³/atom
SG	Pmmm (47)

Cell lengths 3.004, 5.344, 5.916 Å; angles 90.00, 90.00, 90.00 degrees
Positions (direct):
K  0.000  0.000  0.000
Sc  0.000  0.500  0.500
Sc  0.500  0.500  0.000
W  0.500  0.000  0.500

D | KSc2W: optimized geometry, GGA-PBE.

Calculated values
spin magnetization	0.45	Bohr magnetons per cell
volume	22.77	Å³/atom
SG	Fm-3m (225)

Cell lengths 5.050, 5.050, 5.050 Å; angles 60.00, 60.00, 60.00 degrees
Positions (direct):
K  0.000  0.000  0.000
Sc  0.250  0.250  0.250
Sc  0.750  0.750  0.750
W  0.500  0.500  0.500

Which of them is least stable? Easy: C.

A | KSc2W: optimized geometry, GGA-PBE.

Calculated values
spin magnetization	0.00	Bohr magnetons per cell
volume	24.30	Å³/atom
SG	Cmm2 (35)

Cell lengths 2.987, 2.987, 11.380 Å; angles 90.00, 90.00, 106.72 degrees
Positions (direct):
K  0.000  0.000  0.000
Sc  0.000  0.000  0.548
Sc  0.500  0.500  0.308
W  0.500  0.500  0.734

B | KSc2W: optimized geometry, GGA-PBE.

Calculated values
spin magnetization	1.19	Bohr magnetons per cell
volume	23.82	Å³/atom
SG	F-43m (216)

Cell lengths 5.126, 5.126, 5.126 Å; angles 60.00, 60.00, 60.00 degrees
Positions (direct):
K  0.000  0.000  0.000
Sc  0.500  0.500  0.500
Sc  0.750  0.750  0.750
W  0.250  0.250  0.250

Which of them is least stable? Easy: B.

A | KSc2W: optimized geometry, GGA-PBE.

Calculated values
spin magnetization	0.00	Bohr magnetons per cell
volume	28.14	Å³/atom
SG	Pmmm (47)

Cell lengths 3.309, 3.327, 10.223 Å; angles 90.00, 90.00, 90.00 degrees
Positions (direct):
K  0.000  0.000  0.000
Sc  0.500  0.500  0.341
Sc  0.500  0.500  0.659
W  0.000  0.000  0.500

B | KSc2W: optimized geometry, GGA-PBE.

Calculated values
spin magnetization	0.00	Bohr magnetons per cell
volume	26.79	Å³/atom
SG	R-3m (166)

Cell lengths 11.275, 11.275, 11.275 Å; angles 17.02, 17.02, 17.02 degrees
Positions (direct):
K  0.000  0.000  0.000
Sc  0.227  0.227  0.227
Sc  0.773  0.773  0.773
W  0.500  0.500  0.500

Which of them is least stable? Easy: B.

A | KSc2W: optimized geometry, GGA-PBE.

Calculated values
spin magnetization	0.00	Bohr magnetons per cell
volume	28.94	Å³/atom
SG	Pm (6)

Cell lengths 2.950, 4.887, 8.028 Å; angles 90.00, 90.36, 90.00 degrees
Positions (direct):
K  0.000  0.000  0.000
Sc  0.496  0.500  0.360
Sc  0.498  0.000  0.572
W  0.000  0.500  0.653

B | KSc2W: optimized geometry, GGA-PBE.

Calculated values
spin magnetization	0.00	Bohr magnetons per cell
volume	24.74	Å³/atom
SG	R-3m (166)

Cell lengths 12.252, 12.252, 12.252 Å; angles 14.40, 14.40, 14.40 degrees
Positions (direct):
K  0.000  0.000  0.000
Sc  0.427  0.427  0.427
Sc  0.573  0.573  0.573
W  0.500  0.500  0.500

C | KSc2W: optimized geometry, GGA-PBE.

Calculated values
spin magnetization	0.00	Bohr magnetons per cell
volume	22.73	Å³/atom
SG	P4/mmm (123)

Cell lengths 5.404, 5.404, 3.113 Å; angles 90.00, 90.00, 90.00 degrees
Positions (direct):
K  0.000  0.000  0.000
Sc  0.000  0.500  0.500
Sc  0.500  0.000  0.500
W  0.500  0.500  0.000

D | KSc2W: optimized geometry, GGA-PBE.

Calculated values
spin magnetization	0.00	Bohr magnetons per cell
volume	28.57	Å³/atom
SG	P4mm (99)

Cell lengths 3.615, 3.615, 8.748 Å; angles 90.00, 90.00, 90.00 degrees
Positions (direct):
K  0.000  0.000  0.000
Sc  0.000  0.000  0.584
Sc  0.500  0.500  0.379
W  0.500  0.500  0.693

Which of them is least stable? Easy: C.

A | KSc2W: optimized geometry, GGA-PBE.

Calculated values
spin magnetization	0.00	Bohr magnetons per cell
volume	31.45	Å³/atom
SG	Imm2 (44)

Cell lengths 9.039, 9.039, 9.039 Å; angles 160.84, 148.70, 36.96 degrees
Positions (direct):
K  0.000  0.000  0.000
Sc  0.295  0.795  0.500
Sc  0.678  0.678  0.000
W  0.810  0.310  0.500

B | KSc2W: optimized geometry, GGA-PBE.

Calculated values
spin magnetization	0.00	Bohr magnetons per cell
volume	22.68	Å³/atom
SG	Cmmm (65)

Cell lengths 5.529, 5.529, 3.045 Å; angles 90.00, 90.00, 102.95 degrees
Positions (direct):
K  0.000  0.000  0.000
Sc  0.000  0.500  0.500
Sc  0.500  0.000  0.500
W  0.500  0.500  0.000

Which of them is least stable? Easy: B.

A | KSc2W: optimized geometry, GGA-PBE.

Calculated values
spin magnetization	0.00	Bohr magnetons per cell
volume	28.46	Å³/atom
SG	Pmm2 (25)

Cell lengths 3.070, 4.402, 8.424 Å; angles 90.00, 90.00, 90.00 degrees
Positions (direct):
K  0.000  0.000  0.000
Sc  0.000  0.000  0.574
Sc  0.500  0.500  0.367
W  0.500  0.500  0.688

B | KSc2W: optimized geometry, GGA-PBE.

Calculated values
spin magnetization	0.00	Bohr magnetons per cell
volume	41.94	Å³/atom
SG	I4_1/amd (141)

Cell lengths 7.802, 7.802, 7.802 Å; angles 120.05, 120.05, 89.91 degrees
Positions (direct):
K  0.375  0.625  0.750
K  0.625  0.375  0.250
Sc  0.000  0.000  0.000
Sc  0.000  0.000  0.500
Sc  0.000  0.500  0.000
Sc  0.500  0.000  0.500
W  0.125  0.875  0.250
W  0.875  0.125  0.750

C | KSc2W: optimized geometry, GGA-PBE.

Calculated values
spin magnetization	0.00	Bohr magnetons per cell
volume	23.21	Å³/atom
SG	I-4m2 (119)

Cell lengths 5.668, 5.668, 5.668 Å; angles 133.93, 133.93, 67.19 degrees
Positions (direct):
K  0.000  0.000  0.000
Sc  0.250  0.750  0.500
Sc  0.500  0.500  0.000
W  0.750  0.250  0.500

Which of them is least stable? Easy: B.

A | KYSc2: optimized geometry, GGA-PBE.

Calculated values
spin magnetization	0.00	Bohr magnetons per cell
volume	31.34	Å³/atom
SG	F-43m (216)

Cell lengths 5.618, 5.618, 5.618 Å; angles 60.00, 60.00, 60.00 degrees
Positions (direct):
K  0.000  0.000  0.000
Y  0.750  0.750  0.750
Sc  0.250  0.250  0.250
Sc  0.500  0.500  0.500

B | KYSc2: optimized geometry, GGA-PBE.

Calculated values
spin magnetization	2.15	Bohr magnetons per cell
volume	31.93	Å³/atom
SG	I-4m2 (119)

Cell lengths 6.144, 6.144, 6.144 Å; angles 131.41, 131.41, 71.15 degrees
Positions (direct):
K  0.000  0.000  0.000
Y  0.750  0.250  0.500
Sc  0.250  0.750  0.500
Sc  0.500  0.500  0.000

C | KYSc2: optimized geometry, GGA-PBE.

Calculated values
spin magnetization	0.00	Bohr magnetons per cell
volume	31.46	Å³/atom
SG	Immm (71)

Cell lengths 6.869, 6.869, 6.869 Å; angles 150.03, 128.39, 60.84 degrees
Positions (direct):
K  0.000  0.000  0.000
Y  0.500  0.500  0.000
Sc  0.264  0.764  0.500
Sc  0.736  0.236  0.500

Which of them is least stable? Easy: A.

A | KYSc2: optimized geometry, GGA-PBE.

Calculated values
spin magnetization	2.22	Bohr magnetons per cell
volume	32.02	Å³/atom
SG	I4/mmm (139)

Cell lengths 6.224, 6.224, 6.224 Å; angles 132.62, 132.62, 69.25 degrees
Positions (direct):
K  0.000  0.000  0.000
Y  0.500  0.500  0.000
Sc  0.250  0.750  0.500
Sc  0.750  0.250  0.500

B | KYSc2: optimized geometry, GGA-PBE.

Calculated values
spin magnetization	2.18	Bohr magnetons per cell
volume	32.04	Å³/atom
SG	P4/mmm (123)

Cell lengths 5.032, 5.032, 5.062 Å; angles 90.00, 90.00, 90.00 degrees
Positions (direct):
K  0.000  0.000  0.000
Y  0.500  0.500  0.000
Sc  0.000  0.500  0.500
Sc  0.500  0.000  0.500

C | KYSc2: optimized geometry, GGA-PBE.

Calculated values
spin magnetization	0.00	Bohr magnetons per cell
volume	32.19	Å³/atom
SG	R-3m (166)

Cell lengths 12.821, 12.821, 12.821 Å; angles 15.36, 15.36, 15.36 degrees
Positions (direct):
K  0.000  0.000  0.000
Y  0.500  0.500  0.500
Sc  0.095  0.095  0.095
Sc  0.905  0.905  0.905

D | KYSc2: optimized geometry, GGA-PBE.

Calculated values
spin magnetization	0.00	Bohr magnetons per cell
volume	33.46	Å³/atom
SG	P4/mmm (123)

Cell lengths 3.477, 3.477, 11.069 Å; angles 90.00, 90.00, 90.00 degrees
Positions (direct):
K  0.000  0.000  0.000
Y  0.000  0.000  0.500
Sc  0.500  0.500  0.296
Sc  0.500  0.500  0.704

Which of them is least stable? Easy: B.